# 1
DFT (PBE) results for a relaxed Tb4Pm2Ho5 crystal.

Lattice parameters (Å, degrees): 3.556 9.417 11.804 106.41 81.39 112.19
Positions (direct):
Tb: 0.772 0.454 0.364
Tb: 0.316 0.362 0.092
Tb: 0.228 0.546 0.636
Tb: 0.684 0.638 0.908
Pm: 0.863 0.271 0.817
Pm: 0.137 0.729 0.183
Ho: 0.956 0.092 0.273
Ho: 0.044 0.908 0.727
Ho: 0.591 0.819 0.456
Ho: 0.500 0.000 0.000
Ho: 0.409 0.181 0.544

Output
DFT formation energy	0.017	eV per atom
crystal system	triclinic
spin magnetization	0.00	μB per atom
E	-50.7	eV for the cell shown

---

# 2
DFT (PBE) results for a relaxed TbPm2Ho6 crystal.

Lattice parameters (Å, degrees): 6.558 9.565 9.565 96.00 80.78 80.78
Positions (direct):
Tb: 0.250 0.119 0.881
Tb: 0.750 0.881 0.119
Pm: 0.128 0.617 0.668
Pm: 0.372 0.332 0.383
Pm: 0.872 0.383 0.332
Pm: 0.628 0.668 0.617
Ho: 0.504 0.652 0.277
Ho: 0.996 0.723 0.348
Ho: 0.496 0.348 0.723
Ho: 0.004 0.277 0.652
Ho: 0.730 0.059 0.462
Ho: 0.770 0.538 0.941
Ho: 0.270 0.941 0.538
Ho: 0.230 0.462 0.059
Ho: 0.317 0.778 0.957
Ho: 0.183 0.043 0.222
Ho: 0.683 0.222 0.043
Ho: 0.817 0.957 0.778

Output
DFT formation energy	0.110	eV per atom
crystal system	monoclinic
spin magnetization	0.00	μB per atom
E	-81.2	eV for the cell shown

---

# 3
DFT (PBE) results for a relaxed Tb7PmHo5 crystal.

Lattice parameters (Å, degrees): 6.678 8.688 8.688 79.55 67.40 67.40
Positions (direct):
Tb: 0.730 0.270 0.270
Tb: 0.424 0.576 0.576
Tb: 0.980 0.348 0.691
Tb: 0.980 0.691 0.348
Tb: 0.229 0.271 0.271
Tb: 0.481 0.848 0.189
Tb: 0.481 0.189 0.848
Pm: 0.035 0.965 0.965
Ho: 0.465 0.998 0.539
Ho: 0.998 0.998 0.539
Ho: 0.465 0.539 0.998
Ho: 0.998 0.539 0.998
Ho: 0.732 0.768 0.768

Output
DFT formation energy	0.246	eV per atom
crystal system	orthorhombic
spin magnetization	0.00	μB per atom
E	-56.8	eV for the cell shown

---

# 4
DFT (PBE) results for a relaxed Tb6Pm4Ho19 crystal.

Lattice parameters (Å, degrees): 10.759 10.759 10.759 109.47 109.47 109.47
Positions (direct):
Tb: 0.374 0.500 0.874
Tb: 0.626 0.500 0.126
Tb: 0.126 0.626 0.500
Tb: 0.874 0.374 0.500
Tb: 0.500 0.874 0.374
Tb: 0.500 0.126 0.626
Pm: 0.000 0.000 0.640
Pm: 0.000 0.640 0.000
Pm: 0.360 0.360 0.360
Pm: 0.640 0.000 0.000
Ho: 0.740 0.000 0.740
Ho: 0.260 0.000 0.260
Ho: 0.260 0.260 0.000
Ho: 0.740 0.740 0.000
Ho: 0.000 0.740 0.740
Ho: 0.000 0.260 0.260
Ho: 0.000 0.000 0.000
Ho: 0.200 0.216 0.540
Ho: 0.800 0.340 0.015
Ho: 0.675 0.660 0.460
Ho: 0.015 0.800 0.340
Ho: 0.325 0.784 0.985
Ho: 0.540 0.200 0.216
Ho: 0.985 0.325 0.784
Ho: 0.460 0.675 0.660
Ho: 0.784 0.985 0.325
Ho: 0.340 0.015 0.800
Ho: 0.216 0.540 0.200
Ho: 0.660 0.460 0.675

Output
DFT formation energy	0.387	eV per atom
crystal system	cubic
spin magnetization	0.00	μB per atom
E	-122.6	eV for the cell shown

---

# 5
DFT (PBE) results for a relaxed Tb8Pm4Ho3 crystal.

Lattice parameters (Å, degrees): 6.964 6.964 12.504 73.83 73.83 60.00
Positions (direct):
Tb: 0.245 0.245 0.265
Tb: 0.247 0.750 0.254
Tb: 0.750 0.750 0.254
Tb: 0.750 0.247 0.254
Tb: 0.755 0.755 0.735
Tb: 0.753 0.250 0.746
Tb: 0.250 0.250 0.746
Tb: 0.250 0.753 0.746
Pm: 0.000 0.000 0.000
Pm: 0.337 0.337 0.990
Pm: 0.500 0.500 0.500
Pm: 0.663 0.663 0.010
Ho: 0.500 0.000 0.500
Ho: 0.000 0.000 0.500
Ho: 0.000 0.500 0.500

Output
DFT formation energy	0.123	eV per atom
crystal system	trigonal
spin magnetization	0.00	μB per atom
E	-67.9	eV for the cell shown

---

# 6
DFT (PBE) results for a relaxed Tb7Pm2Ho crystal.

Lattice parameters (Å, degrees): 3.509 14.807 14.807 154.52 90.00 90.00
Positions (direct):
Tb: 0.000 0.814 0.186
Tb: 0.000 0.186 0.814
Tb: 0.500 0.148 0.344
Tb: 0.500 0.852 0.656
Tb: 0.500 0.344 0.148
Tb: 0.500 0.656 0.852
Tb: 0.500 0.500 0.500
Pm: 0.500 0.707 0.293
Pm: 0.500 0.293 0.707
Ho: 0.000 0.000 0.000

Output
DFT formation energy	0.157	eV per atom
crystal system	orthorhombic
spin magnetization	0.00	μB per atom
E	-44.9	eV for the cell shown